[1]
Compound: Zr2VSnN
Source: the Alexandria database
Functional: PBE
Structure: optimized geometry

Lattice parameters (Å, degrees): 4.6403 4.6403 3.8968 90.00 90.00 90.00
Element x y z (fractional)
N 0.0000 0.0000 0.0000
Zr 0.0000 0.5000 0.0000
Zr 0.5000 0.0000 0.0000
Sn 0.5000 0.5000 0.5000
V 0.0000 0.0000 0.5000

Calculated values
Density of states at the Fermi level   5.49 states/eV per cell
ΔE_f (raw)   -778 meV per atom
E_tot   -8.4865 eV/atom
Symmetry   P4/mmm (123)


[2]
Compound: Sn3WN
Source: the Alexandria database
Functional: PBE
Structure: optimized geometry

Lattice parameters (Å, degrees): 4.5750 4.5750 4.5750 90.00 90.00 90.00
Element x y z (fractional)
Sn 0.0000 0.5000 0.0000
Sn 0.0000 0.0000 0.5000
Sn 0.5000 0.0000 0.0000
W 0.5000 0.5000 0.5000
N 0.0000 0.0000 0.0000

Calculated values
Density of states at the Fermi level   3.45 states/eV per cell
ΔE_f (raw)   1041 meV per atom
Polymorph energy (0 for the lowest one)   0 meV/atom
E_tot   -5.6163 eV/atom
Symmetry   Pm-3m (221)


[3]
Compound: SnW3N
Source: the Alexandria database
Functional: PBE
Structure: optimized geometry

Lattice parameters (Å, degrees): 4.2029 4.2029 4.2029 90.00 90.00 90.00
Element x y z (fractional)
Sn 0.5000 0.5000 0.5000
N 0.0000 0.0000 0.0000
W 0.0000 0.5000 0.0000
W 0.5000 0.0000 0.0000
W 0.0000 0.0000 0.5000

Calculated values
Density of states at the Fermi level   2.67 states/eV per cell
ΔE_f (raw)   248 meV per atom
Polymorph energy (0 for the lowest one)   0 meV/atom
E_tot   -9.9899 eV/atom
Symmetry   Pm-3m (221)


[4]
Compound: SnW3N
Source: the Alexandria database
Functional: PBE
Structure: optimized geometry

Lattice parameters (Å, degrees): 4.8981 4.8981 4.8981 90.00 90.00 90.00
Element x y z (fractional)
W 0.5000 0.0000 0.0000
W 0.0000 0.5000 0.0000
W 0.0000 0.0000 0.5000
Sn 0.0000 0.0000 0.0000
N 0.5000 0.5000 0.5000

Calculated values
Density of states at the Fermi level   7.46 states/eV per cell
ΔE_f (raw)   4041 meV per atom
Polymorph energy (0 for the lowest one)   3793 meV/atom
E_tot   -6.1965 eV/atom
Symmetry   Pm-3m (221)


[5]
Compound: SnW2N
Source: the Alexandria database
Functional: PBE
Structure: optimized geometry

Lattice parameters (Å, degrees): 4.4126 4.4126 4.4126 60.00 60.00 60.00
Element x y z (fractional)
W 0.2500 0.2500 0.2500
W 0.7500 0.7500 0.7500
Sn 0.5000 0.5000 0.5000
N 0.0000 0.0000 0.0000

Calculated values
Density of states at the Fermi level   5.47 states/eV per cell
ΔE_f (raw)   1506 meV per atom
Polymorph energy (0 for the lowest one)   808 meV/atom
E_tot   -8.0523 eV/atom
Symmetry   Fm-3m (225)


[6]
Compound: Sn3WN
Source: the Alexandria database
Functional: PBE
Structure: optimized geometry

Lattice parameters (Å, degrees): 5.2711 5.2711 5.2711 90.00 90.00 90.00
Element x y z (fractional)
W 0.0000 0.0000 0.0000
Sn 0.0000 0.0000 0.5000
Sn 0.0000 0.5000 0.0000
Sn 0.5000 0.0000 0.0000
N 0.5000 0.5000 0.5000

Calculated values
Density of states at the Fermi level   2.25 states/eV per cell
ΔE_f (raw)   1278 meV per atom
Polymorph energy (0 for the lowest one)   237 meV/atom
E_tot   -5.3791 eV/atom
Symmetry   Pm-3m (221)


> Look up the ΔE_f (raw) of the first one.

-778 meV per atom


> The lowest ΔE_f (raw) belongs to which entry?

Zr2VSnN